Record 1
This record from the Open Quantum Materials Database describes a relaxed CsYNp crystal. The functional is GGA-PBE.

Spin magnetization ... 2.533 μB/atom
Polymorph energy (0 for the lowest one) ... 0 meV/atom
SG ... F-43m, No. 216
Energy ... -4.98 eV per atom

Structure (POSCAR):
```
CsYNp
1.0
0.000 4.161 4.161
4.161 0.000 4.161
4.161 4.161 0.000
Cs Y Np
1 1 1
Direct
0.000 0.000 0.000
0.250 0.250 0.250
0.500 0.500 0.500
```

=====

Record 2
This record from the Open Quantum Materials Database describes a relaxed ZrCuReSi crystal. The functional is GGA-PBE.

Spin magnetization ... 0.000 μB/atom
Polymorph energy (0 for the lowest one) ... 0 meV/atom
SG ... F-43m, No. 216
Energy ... -7.55 eV per atom

Structure (POSCAR):
```
ZrCuReSi
1.0
0.000 3.127 3.127
3.127 0.000 3.127
3.127 3.127 0.000
Zr Cu Re Si
1 1 1 1
Direct
0.000 0.000 0.000
0.750 0.750 0.750
0.250 0.250 0.250
0.500 0.500 0.500
```

=====

Record 3
This record from the Open Quantum Materials Database describes a relaxed Nd2HoZn3CdIn2 crystal. The functional is GGA-PBE.

Spin magnetization ... 0.002 μB/atom
SG ... Amm2, No. 38
Energy ... -3.06 eV per atom

Structure (POSCAR):
```
Nd2HoZn3CdIn2
1.0
4.623 0.000 0.000
0.000 6.274 3.688
0.000 -6.274 3.688
Nd Ho Zn Cd In
2 1 3 1 2
Direct
0.000 0.211 0.789
0.000 0.789 0.211
0.000 0.362 0.362
0.500 0.019 0.019
0.500 0.550 0.786
0.500 0.786 0.550
0.000 0.776 0.776
0.500 0.125 0.451
0.500 0.451 0.125
```

=====

Record 4
This record from the Open Quantum Materials Database describes a relaxed Nd2Sm2IN2Cl4 crystal. The functional is GGA-PBE.

Spin magnetization ... 0.001 μB/atom
SG ... C2/m, No. 12
Energy ... -5.64 eV per atom

Structure (POSCAR):
```
Nd2Sm2IN2Cl4
1.0
9.107 -1.856 0.000
9.107 1.856 0.000
-2.292 0.000 8.296
Nd Sm I N Cl
2 2 1 2 4
Direct
0.001 0.001 0.190
0.999 0.999 0.810
0.334 0.334 0.902
0.666 0.666 0.098
0.500 0.500 0.500
0.461 0.461 0.978
0.539 0.539 0.022
0.162 0.162 0.343
0.169 0.169 0.840
0.831 0.831 0.160
0.838 0.838 0.657
```

=====

Record 5
This record from the Open Quantum Materials Database describes a relaxed BaZn crystal. The functional is GGA-PBE.

SG ... P2_1/m, No. 11
Energy ... -1.70 eV per atom

Structure (POSCAR):
```
BaZn
1.0
7.893 0.000 0.000
0.000 5.356 0.000
-0.009 0.000 19.275
Ba Zn
12 12
Direct
0.027 0.250 0.121
0.027 0.750 0.379
0.329 0.250 0.461
0.329 0.750 0.039
0.452 0.250 0.678
0.452 0.750 0.822
0.548 0.250 0.178
0.548 0.750 0.322
0.671 0.250 0.961
0.671 0.750 0.539
0.973 0.250 0.621
0.973 0.750 0.879
0.127 0.250 0.793
0.127 0.750 0.707
0.212 0.750 0.211
0.213 0.250 0.289
0.223 0.250 0.927
0.223 0.750 0.573
0.777 0.250 0.427
0.777 0.750 0.073
0.787 0.750 0.711
0.788 0.250 0.789
0.873 0.250 0.293
0.873 0.750 0.207
```

=====

Record 6
This record from the Open Quantum Materials Database describes a relaxed TbMgCu crystal. The functional is GGA-PBE.

Spin magnetization ... 0.005 μB/atom
SG ... F-43m, No. 216
Energy ... -3.33 eV per atom

Structure (POSCAR):
```
TbMgCu
1.0
0.000 3.282 3.282
3.282 0.000 3.282
3.282 3.282 0.000
Tb Mg Cu
1 1 1
Direct
0.000 0.000 0.000
0.500 0.500 0.500
0.750 0.750 0.750
```

=====

- Which formula does entry 3 have?
  Nd2HoZn3CdIn2

=====

- Which of these has the lowest energy?
  ZrCuReSi

=====

- Which value of energy does entry 1 give?
  -4.98 eV per atom